Below is a geometry-optimized Li3MnV4O12 structure, with properties calculated at the PBE with a Hubbard U level.

## Properties
The energy is -7.054 eV/atom. The value obtained for the density is 3.903 g/cm3. Its crystal system is triclinic. The total moment comes out at 6.00 μB/f.u.

Cell: 5.042 5.408 7.386 Å, 94.92 91.00 90.74°
Space group P1 (No. 1)
Symmetry-distinct sites (fractional):
Li1 0.000 0.000 0.000 x1
Li2 0.011 0.004 0.490 x1
Li3 0.514 0.510 0.494 x1
Mn1 0.507 0.527 0.989 x1
V1 0.000 0.422 0.780 x1
V2 0.016 0.445 0.288 x1
V3 0.506 0.937 0.763 x1
V4 0.507 0.957 0.277 x1
O1 0.145 0.395 0.039 x1
O2 0.199 0.713 0.357 x1
O3 0.206 0.084 0.731 x1
O4 0.318 0.209 0.362 x1
O5 0.339 0.597 0.754 x1
O6 0.381 0.911 0.055 x1
O7 0.631 0.896 0.545 x1
O8 0.677 0.585 0.231 x1
O9 0.702 0.200 0.862 x1
O10 0.799 0.704 0.875 x1
O11 0.816 0.095 0.244 x1
O12 0.895 0.403 0.549 x1